No. 1
# Ta2NbGa

A geometry-optimized Ta2NbGa structure (PBE-GGA, the Alexandria database).

The structure in CIF format:
```
data_Ta2NbGa
_chemical_formula_sum 'Ta4 Nb2 Ga2'
_cell_length_a 4.716
_cell_length_b 5.557
_cell_length_c 5.368
_cell_angle_alpha 90.01
_cell_angle_beta 90.00
_cell_angle_gamma 90.00
_symmetry_space_group_name_H-M 'P 1'
_symmetry_Int_Tables_number 1
loop_
_symmetry_equiv_pos_as_xyz
'x,y,z'
loop_
_atom_site_label
_atom_site_type_symbol
_atom_site_fract_x
_atom_site_fract_y
_atom_site_fract_z
Ta1 Ta 0.000 0.758 0.352
Ta2 Ta 0.500 0.742 0.648
Ta3 Ta 0.500 0.258 0.648
Ta4 Ta 0.000 0.242 0.352
Nb1 Nb 0.000 0.500 0.881
Nb2 Nb 0.500 0.000 0.119
Ga1 Ga 0.000 0.000 0.835
Ga2 Ga 0.500 0.500 0.165
```

=====

No. 2
# Ta3Nb2Ga5

A geometry-optimized Ta3Nb2Ga5 structure (PBE-GGA, the Alexandria database).

The structure in CIF format:
```
data_Ta3Nb2Ga5
_chemical_formula_sum 'Ta6 Nb4 Ga10'
_cell_length_a 5.267
_cell_length_b 8.828
_cell_length_c 8.828
_cell_angle_alpha 99.05
_cell_angle_beta 72.64
_cell_angle_gamma 72.64
_symmetry_space_group_name_H-M 'P 1'
_symmetry_Int_Tables_number 1
loop_
_symmetry_equiv_pos_as_xyz
'x,y,z'
loop_
_atom_site_label
_atom_site_type_symbol
_atom_site_fract_x
_atom_site_fract_y
_atom_site_fract_z
Ta1 Ta 0.420 0.414 0.746
Ta2 Ta 0.920 0.746 0.414
Ta3 Ta 0.580 0.586 0.254
Ta4 Ta 0.080 0.254 0.586
Ta5 Ta 0.250 0.000 0.000
Ta6 Ta 0.750 0.000 0.000
Nb1 Nb 0.125 0.671 0.080
Nb2 Nb 0.625 0.080 0.671
Nb3 Nb 0.875 0.329 0.920
Nb4 Nb 0.375 0.920 0.329
Ga1 Ga 0.350 0.298 0.003
Ga2 Ga 0.850 0.003 0.298
Ga3 Ga 0.650 0.702 0.997
Ga4 Ga 0.150 0.997 0.702
Ga5 Ga 0.508 0.742 0.742
Ga6 Ga 0.492 0.258 0.258
Ga7 Ga 0.750 0.500 0.500
Ga8 Ga 0.250 0.500 0.500
Ga9 Ga 0.992 0.258 0.258
Ga10 Ga 0.008 0.742 0.742
```

=====

Computed total magnetic moment (μB per cell) in order:
0.0 0.0
Computed total DFT energy (no corrections) (eV/atom) in order:
-9.2528 -6.9427